Record 1
# PAu GGA-PBE optimized geometry
data_PAu
_cell_length_a 3.2825
_cell_length_b 8.4079
_cell_length_c 7.1262
_cell_angle_alpha 90.00
_cell_angle_beta 90.00
_cell_angle_gamma 90.00
_symmetry_space_group_name_H-M 'I m m a'
_symmetry_Int_Tables_number 74
_symmetry_space_group_name_Hall '-I 2b 2'
loop_
_atom_site_label
_atom_site_type_symbol
_atom_site_fract_x
_atom_site_fract_y
_atom_site_fract_z
P1 P 0.0000 0.2500 0.1463
Au1 Au 0.0000 0.0000 0.0000
# M_tot (μB/atom): 0.000
# Formation energy (meV per atom): -128
# Volume (Å³ per cell): 196.7

Record 2
# PAu GGA-PBE optimized geometry
data_PAu
_cell_length_a 8.2062
_cell_length_b 8.4410
_cell_length_c 11.4087
_cell_angle_alpha 90.00
_cell_angle_beta 90.00
_cell_angle_gamma 90.00
_symmetry_space_group_name_H-M 'F d d d'
_symmetry_Int_Tables_number 70
loop_
_symmetry_equiv_pos_as_xyz
'x,y,z'
'-x,-y,-z'
'-x+1/4,-y+1/4,z'
'x+1/4,y+1/4,-z'
'x,-y+1/4,-z+1/4'
'-x,y+1/4,z+1/4'
'-x+1/4,y,-z+1/4'
'x+1/4,-y,z+1/4'
'x,y+1/2,z+1/2'
'-x,-y+1/2,-z+1/2'
'-x+1/4,-y+3/4,z+1/2'
'x+1/4,y+3/4,-z+1/2'
'x,-y+3/4,-z+3/4'
'-x,y+3/4,z+3/4'
'-x+1/4,y+1/2,-z+3/4'
'x+1/4,-y+1/2,z+3/4'
'x+1/2,y,z+1/2'
'-x+1/2,-y,-z+1/2'
'-x+3/4,-y+1/4,z+1/2'
'x+3/4,y+1/4,-z+1/2'
'x+1/2,-y+1/4,-z+3/4'
'-x+1/2,y+1/4,z+3/4'
'-x+3/4,y,-z+3/4'
'x+3/4,-y,z+3/4'
'x+1/2,y+1/2,z'
'-x+1/2,-y+1/2,-z'
'-x+3/4,-y+3/4,z'
'x+3/4,y+3/4,-z'
'x+1/2,-y+3/4,-z+1/4'
'-x+1/2,y+3/4,z+1/4'
'-x+3/4,y+1/2,-z+1/4'
'x+3/4,-y+1/2,z+1/4'
loop_
_atom_site_label
_atom_site_type_symbol
_atom_site_fract_x
_atom_site_fract_y
_atom_site_fract_z
P1 P 0.0042 0.3750 0.3750
Au1 Au 0.1250 0.1250 0.3593
# M_tot (μB/atom): 0.000
# Formation energy (meV per atom): 174
# Volume (Å³ per cell): 790.3

Record 3
# P4Au GGA-PBE optimized geometry
data_P4Au
_cell_length_a 4.7834
_cell_length_b 4.7834
_cell_length_c 4.7834
_cell_angle_alpha 90.00
_cell_angle_beta 90.00
_cell_angle_gamma 90.00
_symmetry_space_group_name_H-M 'P m -3 m'
_symmetry_Int_Tables_number 221
_symmetry_space_group_name_Hall '-P 4 2 3'
loop_
_atom_site_label
_atom_site_type_symbol
_atom_site_fract_x
_atom_site_fract_y
_atom_site_fract_z
P1 P 0.0000 0.0000 0.0000
P2 P 0.0000 0.5000 0.5000
Au1 Au 0.5000 0.5000 0.5000
# M_tot (μB/atom): 0.083
# Formation energy (meV per atom): 1464
# Volume (Å³ per cell): 109.5

Record 4
# P6Au7 GGA-PBE optimized geometry
data_P6Au7
_cell_length_a 6.3806
_cell_length_b 6.3806
_cell_length_c 23.4646
_cell_angle_alpha 90.00
_cell_angle_beta 90.00
_cell_angle_gamma 120.00
_symmetry_space_group_name_H-M 'R -3 m'
_symmetry_Int_Tables_number 166
_symmetry_space_group_name_Hall '-R 3 2"'
loop_
_atom_site_label
_atom_site_type_symbol
_atom_site_fract_x
_atom_site_fract_y
_atom_site_fract_z
P1 P 0.0000 0.0000 0.1060
P2 P 0.0000 0.0000 0.1934
P3 P 0.0000 0.0000 0.3249
Au1 Au 0.0000 0.0000 0.5000
Au2 Au 0.0230 0.5115 0.0750
# M_tot (μB/atom): 0.000
# Formation energy (meV per atom): 318
# Volume (Å³ per cell): 827.3

Record 5
# PAu GGA-PBE optimized geometry
data_PAu
_cell_length_a 3.6803
_cell_length_b 10.5512
_cell_length_c 3.6654
_cell_angle_alpha 90.00
_cell_angle_beta 90.00
_cell_angle_gamma 90.00
_symmetry_space_group_name_H-M 'C m c m'
_symmetry_Int_Tables_number 63
_symmetry_space_group_name_Hall '-C 2c 2'
loop_
_atom_site_label
_atom_site_type_symbol
_atom_site_fract_x
_atom_site_fract_y
_atom_site_fract_z
P1 P 0.0000 0.1405 0.2500
Au1 Au 0.0000 0.3797 0.2500
# M_tot (μB/atom): 0.000
# Formation energy (meV per atom): 334
# Volume (Å³ per cell): 142.3

Record 6
# P3Au5 GGA-PBE optimized geometry
data_P3Au5
_cell_length_a 5.9515
_cell_length_b 7.2924
_cell_length_c 8.0819
_cell_angle_alpha 81.68
_cell_angle_beta 68.41
_cell_angle_gamma 66.63
_symmetry_space_group_name_H-M 'P 1'
_symmetry_Int_Tables_number 1
_symmetry_space_group_name_Hall 'P 1'
loop_
_atom_site_label
_atom_site_type_symbol
_atom_site_fract_x
_atom_site_fract_y
_atom_site_fract_z
P1 P 0.0000 0.0000 0.0000
P2 P 0.0077 0.4961 0.4865
P3 P 0.2850 0.4985 0.9271
P4 P 0.6249 0.9994 0.0007
P5 P 0.6363 0.4954 0.4878
P6 P 0.9177 0.4958 0.9255
Au1 Au 0.0911 0.7216 0.2153
Au2 Au 0.0940 0.9955 0.4415
Au3 Au 0.0956 0.2172 0.7133
Au4 Au 0.3166 0.7769 0.7145
Au5 Au 0.3182 0.2740 0.2184
Au6 Au 0.5913 0.9960 0.4480
Au7 Au 0.5962 0.7196 0.2161
Au8 Au 0.5991 0.2179 0.7158
Au9 Au 0.8156 0.2741 0.2188
Au10 Au 0.8170 0.7762 0.7162
# M_tot (μB/atom): 0.000
# Formation energy (meV per atom): 87
# Volume (Å³ per cell): 299.4

Record 7
# PAu GGA-PBE optimized geometry
data_PAu
_cell_length_a 6.8577
_cell_length_b 6.8577
_cell_length_c 6.8577
_cell_angle_alpha 90.00
_cell_angle_beta 90.00
_cell_angle_gamma 90.00
_symmetry_space_group_name_H-M 'P m -3 n'
_symmetry_Int_Tables_number 223
_symmetry_space_group_name_Hall '-P 4n 2 3'
loop_
_atom_site_label
_atom_site_type_symbol
_atom_site_fract_x
_atom_site_fract_y
_atom_site_fract_z
P1 P 0.0000 0.2500 0.5000
Au1 Au 0.0000 0.5000 0.2500
# M_tot (μB/atom): 0.000
# Formation energy (meV per atom): 319
# Volume (Å³ per cell): 322.5

Record 8
# PAu GGA-PBE optimized geometry
data_PAu
_cell_length_a 8.4690
_cell_length_b 6.4453
_cell_length_c 3.6319
_cell_angle_alpha 90.00
_cell_angle_beta 115.18
_cell_angle_gamma 90.00
_symmetry_space_group_name_H-M 'C 1 m 1'
_symmetry_Int_Tables_number 8
_symmetry_space_group_name_Hall 'C -2y'
loop_
_atom_site_label
_atom_site_type_symbol
_atom_site_fract_x
_atom_site_fract_y
_atom_site_fract_z
P1 P 0.0000 0.1686 0.0000
Au1 Au 0.3037 0.2486 0.3055
# M_tot (μB/atom): 0.000
# Formation energy (meV per atom): 39
# Volume (Å³ per cell): 179.4

Record 9
# PAu GGA-PBE optimized geometry
data_PAu
_cell_length_a 4.7510
_cell_length_b 9.8727
_cell_length_c 5.0637
_cell_angle_alpha 90.00
_cell_angle_beta 90.00
_cell_angle_gamma 90.00
_symmetry_space_group_name_H-M 'A m m 2'
_symmetry_Int_Tables_number 38
_symmetry_space_group_name_Hall 'A 2 -2'
loop_
_atom_site_label
_atom_site_type_symbol
_atom_site_fract_x
_atom_site_fract_y
_atom_site_fract_z
P1 P 0.0000 0.0000 0.0000
P2 P 0.5000 0.2476 0.1659
Au1 Au 0.0000 0.1820 0.6695
Au2 Au 0.5000 0.0000 0.1493
# M_tot (μB/atom): 0.000
# Formation energy (meV per atom): 211
# Volume (Å³ per cell): 237.5

Record 10
# P5Au GGA-PBE optimized geometry
data_P5Au
_cell_length_a 7.6656
_cell_length_b 7.6656
_cell_length_c 7.6656
_cell_angle_alpha 90.00
_cell_angle_beta 90.00
_cell_angle_gamma 90.00
_symmetry_space_group_name_H-M 'F -4 3 m'
_symmetry_Int_Tables_number 216
_symmetry_space_group_name_Hall 'F -4 2 3'
loop_
_atom_site_label
_atom_site_type_symbol
_atom_site_fract_x
_atom_site_fract_y
_atom_site_fract_z
P1 P 0.0000 0.0000 0.0000
P2 P 0.1040 0.1040 0.3960
Au1 Au 0.2500 0.2500 0.7500
# M_tot (μB/atom): 0.000
# Formation energy (meV per atom): 863
# Volume (Å³ per cell): 450.4

Record 11
# P4Au GGA-PBE optimized geometry
data_P4Au
_cell_length_a 5.8634
_cell_length_b 5.8634
_cell_length_c 5.8634
_cell_angle_alpha 90.00
_cell_angle_beta 90.00
_cell_angle_gamma 90.00
_symmetry_space_group_name_H-M 'I m -3 m'
_symmetry_Int_Tables_number 229
_symmetry_space_group_name_Hall '-I 4 2 3'
loop_
_atom_site_label
_atom_site_type_symbol
_atom_site_fract_x
_atom_site_fract_y
_atom_site_fract_z
P1 P 0.2500 0.2500 0.2500
Au1 Au 0.0000 0.0000 0.0000
# M_tot (μB/atom): 0.000
# Formation energy (meV per atom): 949
# Volume (Å³ per cell): 201.6

Record 12
# PAu GGA-PBE optimized geometry
data_PAu
_cell_length_a 10.8033
_cell_length_b 3.4250
_cell_length_c 6.8722
_cell_angle_alpha 90.00
_cell_angle_beta 118.26
_cell_angle_gamma 90.00
_symmetry_space_group_name_H-M 'C 1 m 1'
_symmetry_Int_Tables_number 8
_symmetry_space_group_name_Hall 'C -2y'
loop_
_atom_site_label
_atom_site_type_symbol
_atom_site_fract_x
_atom_site_fract_y
_atom_site_fract_z
P1 P 0.0000 0.0000 0.0000
P2 P 0.0046 0.5000 0.4519
P3 P 0.1281 0.0000 0.3649
Au1 Au 0.1100 0.5000 0.8586
Au2 Au 0.3056 0.5000 0.3474
Au3 Au 0.3220 0.0000 0.9108
# M_tot (μB/atom): 0.000
# Formation energy (meV per atom): 139
# Volume (Å³ per cell): 224.0

Record 13
# PAu GGA-PBE optimized geometry
data_PAu
_cell_length_a 3.1689
_cell_length_b 3.7955
_cell_length_c 11.9432
_cell_angle_alpha 90.00
_cell_angle_beta 90.00
_cell_angle_gamma 90.00
_symmetry_space_group_name_H-M 'I m m a'
_symmetry_Int_Tables_number 74
_symmetry_space_group_name_Hall '-I 2b 2'
loop_
_atom_site_label
_atom_site_type_symbol
_atom_site_fract_x
_atom_site_fract_y
_atom_site_fract_z
P1 P 0.0000 0.2500 0.1810
Au1 Au 0.0000 0.2500 0.5897
# M_tot (μB/atom): 0.000
# Formation energy (meV per atom): 295
# Volume (Å³ per cell): 143.6

Record 14
# P2Au3 GGA-PBE optimized geometry
data_P2Au3
_cell_length_a 13.0722
_cell_length_b 13.4471
_cell_length_c 4.4019
_cell_angle_alpha 90.00
_cell_angle_beta 90.00
_cell_angle_gamma 90.00
_symmetry_space_group_name_H-M 'F d d 2'
_symmetry_Int_Tables_number 43
_symmetry_space_group_name_Hall 'F 2 -2d'
loop_
_atom_site_label
_atom_site_type_symbol
_atom_site_fract_x
_atom_site_fract_y
_atom_site_fract_z
P1 P 0.0786 0.1632 0.0000
Au1 Au 0.0000 0.0000 0.7419
Au2 Au 0.1013 0.2580 0.5163
# M_tot (μB/atom): 0.000
# Formation energy (meV per atom): 231
# Volume (Å³ per cell): 773.8

Record 15
# P5Au GGA-PBE optimized geometry
data_P5Au
_cell_length_a 4.1758
_cell_length_b 3.2930
_cell_length_c 16.5880
_cell_angle_alpha 90.00
_cell_angle_beta 90.00
_cell_angle_gamma 90.00
_symmetry_space_group_name_H-M 'A m m 2'
_symmetry_Int_Tables_number 38
_symmetry_space_group_name_Hall 'A 2 -2'
loop_
_atom_site_label
_atom_site_type_symbol
_atom_site_fract_x
_atom_site_fract_y
_atom_site_fract_z
P1 P 0.0000 0.0000 0.0000
P2 P 0.0000 0.0000 0.2925
P3 P 0.0000 0.0000 0.6973
P4 P 0.5000 0.0000 0.0770
P5 P 0.5000 0.0000 0.4815
Au1 Au 0.5000 0.0000 0.7864
# M_tot (μB/atom): 0.000
# Formation energy (meV per atom): 437
# Volume (Å³ per cell): 228.1

Record 16
# PAu GGA-PBE optimized geometry
data_PAu
_cell_length_a 11.4560
_cell_length_b 3.2953
_cell_length_c 4.5894
_cell_angle_alpha 90.00
_cell_angle_beta 96.27
_cell_angle_gamma 90.00
_symmetry_space_group_name_H-M 'C 1 2/m 1'
_symmetry_Int_Tables_number 12
_symmetry_space_group_name_Hall '-C 2y'
loop_
_atom_site_label
_atom_site_type_symbol
_atom_site_fract_x
_atom_site_fract_y
_atom_site_fract_z
P1 P 0.1841 0.0000 0.4846
Au1 Au 0.1255 0.0000 0.9677
# M_tot (μB/atom): 0.000
# Formation energy (meV per atom): -10
# Volume (Å³ per cell): 172.2

Record 17
# PAu GGA-PBE optimized geometry
data_PAu
_cell_length_a 3.2896
_cell_length_b 3.9459
_cell_length_c 12.2324
_cell_angle_alpha 90.00
_cell_angle_beta 90.00
_cell_angle_gamma 90.00
_symmetry_space_group_name_H-M 'I m m a'
_symmetry_Int_Tables_number 74
_symmetry_space_group_name_Hall '-I 2b 2'
loop_
_atom_site_label
_atom_site_type_symbol
_atom_site_fract_x
_atom_site_fract_y
_atom_site_fract_z
P1 P 0.0000 0.2500 0.1904
Au1 Au 0.0000 0.2500 0.9211
# M_tot (μB/atom): 0.000
# Formation energy (meV per atom): -43
# Volume (Å³ per cell): 158.8

Record 18
# PAu GGA-PBE optimized geometry
data_PAu
_cell_length_a 4.3560
_cell_length_b 3.2374
_cell_length_c 5.8967
_cell_angle_alpha 90.00
_cell_angle_beta 93.01
_cell_angle_gamma 90.00
_symmetry_space_group_name_H-M 'P 1 21/m 1'
_symmetry_Int_Tables_number 11
_symmetry_space_group_name_Hall '-P 2yb'
loop_
_atom_site_label
_atom_site_type_symbol
_atom_site_fract_x
_atom_site_fract_y
_atom_site_fract_z
P1 P 0.1702 0.2500 0.0193
Au1 Au 0.4912 0.2500 0.6889
# M_tot (μB/atom): 0.000
# Formation energy (meV per atom): 198
# Volume (Å³ per cell): 83.0

Record 19
# PAu GGA-PBE optimized geometry
data_PAu
_cell_length_a 5.0765
_cell_length_b 5.0765
_cell_length_c 5.8085
_cell_angle_alpha 90.00
_cell_angle_beta 90.00
_cell_angle_gamma 90.00
_symmetry_space_group_name_H-M 'I 4/m m m'
_symmetry_Int_Tables_number 139
_symmetry_space_group_name_Hall '-I 4 2'
loop_
_atom_site_label
_atom_site_type_symbol
_atom_site_fract_x
_atom_site_fract_y
_atom_site_fract_z
P1 P 0.0000 0.0000 0.1896
Au1 Au 0.0000 0.5000 0.2500
# M_tot (μB/atom): 0.000
# Formation energy (meV per atom): 113
# Volume (Å³ per cell): 149.7

Record 20
# PAu GGA-PBE optimized geometry
data_PAu
_cell_length_a 4.3849
_cell_length_b 3.7160
_cell_length_c 5.7820
_cell_angle_alpha 90.00
_cell_angle_beta 91.50
_cell_angle_gamma 90.00
_symmetry_space_group_name_H-M 'P 1 2/m 1'
_symmetry_Int_Tables_number 10
_symmetry_space_group_name_Hall '-P 2y'
loop_
_atom_site_label
_atom_site_type_symbol
_atom_site_fract_x
_atom_site_fract_y
_atom_site_fract_z
P1 P 0.1898 0.0000 0.1259
Au1 Au 0.0000 0.0000 0.5000
Au2 Au 0.5000 0.5000 0.0000
# M_tot (μB/atom): 0.000
# Formation energy (meV per atom): -68
# Volume (Å³ per cell): 94.2

Record 21
# PAu GGA-PBE optimized geometry
data_PAu
_cell_length_a 4.2931
_cell_length_b 4.6753
_cell_length_c 4.8200
_cell_angle_alpha 85.70
_cell_angle_beta 67.57
_cell_angle_gamma 77.47
_symmetry_space_group_name_H-M 'P 1'
_symmetry_Int_Tables_number 1
_symmetry_space_group_name_Hall 'P 1'
loop_
_atom_site_label
_atom_site_type_symbol
_atom_site_fract_x
_atom_site_fract_y
_atom_site_fract_z
P1 P 0.0000 0.0000 0.0000
P2 P 0.0648 0.3420 0.6645
Au1 Au 0.3969 0.0416 0.2213
Au2 Au 0.4653 0.5937 0.7825
# M_tot (μB/atom): 0.000
# Formation energy (meV per atom): 49
# Volume (Å³ per cell): 87.3

Record 22
# P4Au GGA-PBE optimized geometry
data_P4Au
_cell_length_a 7.2651
_cell_length_b 7.2651
_cell_length_c 3.1839
_cell_angle_alpha 90.00
_cell_angle_beta 90.00
_cell_angle_gamma 90.00
_symmetry_space_group_name_H-M 'I 4/m m m'
_symmetry_Int_Tables_number 139
_symmetry_space_group_name_Hall '-I 4 2'
loop_
_atom_site_label
_atom_site_type_symbol
_atom_site_fract_x
_atom_site_fract_y
_atom_site_fract_z
P1 P 0.0000 0.3136 0.0000
Au1 Au 0.0000 0.0000 0.5000
# M_tot (μB/atom): 0.000
# Formation energy (meV per atom): 525
# Volume (Å³ per cell): 168.1

Record 23
# PAu GGA-PBE optimized geometry
data_PAu
_cell_length_a 7.5902
_cell_length_b 7.5902
_cell_length_c 7.5902
_cell_angle_alpha 90.00
_cell_angle_beta 90.00
_cell_angle_gamma 90.00
_symmetry_space_group_name_H-M 'I -4 3 m'
_symmetry_Int_Tables_number 217
_symmetry_space_group_name_Hall 'I -4 2 3'
loop_
_atom_site_label
_atom_site_type_symbol
_atom_site_fract_x
_atom_site_fract_y
_atom_site_fract_z
P1 P 0.1489 0.1489 0.1489
Au1 Au 0.1768 0.1768 0.8232
# M_tot (μB/atom): 0.000
# Formation energy (meV per atom): 358
# Volume (Å³ per cell): 437.3

Record 24
# PAu GGA-PBE optimized geometry
data_PAu
_cell_length_a 8.5782
_cell_length_b 8.5782
_cell_length_c 4.4922
_cell_angle_alpha 90.00
_cell_angle_beta 90.00
_cell_angle_gamma 120.00
_symmetry_space_group_name_H-M 'P 63/m'
_symmetry_Int_Tables_number 176
_symmetry_space_group_name_Hall '-P 6c'
loop_
_atom_site_label
_atom_site_type_symbol
_atom_site_fract_x
_atom_site_fract_y
_atom_site_fract_z
P1 P 0.0204 0.6214 0.2500
Au1 Au 0.1461 0.7145 0.7500
# M_tot (μB/atom): 0.000
# Formation energy (meV per atom): 184
# Volume (Å³ per cell): 286.3